# 1
Compound: TmAl2S4
Source: Alexandria
Functional: GGA-PBE
Structure: optimized geometry

abc: 6.1742 6.1742 6.1742
angles: 103.92 103.92 121.25
With the nearest neighbours (Å) after each atom.
Fractional coordinates of all 7 atoms:
Tm 0.0000 0.0000 0.0000  4 S 2.74
Al 0.2500 0.7500 0.5000  4 S 2.28
Al 0.7500 0.2500 0.5000  4 S 2.28
S 0.1453 0.3293 0.4745  2 Al 2.28
S 0.3293 0.8547 0.1840  2 Al 2.28
S 0.6707 0.1453 0.8160  2 Al 2.28
S 0.8547 0.6707 0.5255  2 Al 2.28

Computed properties:
As for the raw formation energy: -1.08 eV per atom. The spin magnetization comes out at 0.990 μB/f.u. Its raw total energy is -5.15 eV/atom.

# 2
Compound: CuAg2Pb
Source: Alexandria
Functional: GGA-PBE
Structure: optimized geometry

abc: 4.0712 4.1894 4.5204
angles: 90.00 90.00 90.00
With the nearest neighbours (Å) after each atom.
Fractional coordinates of all 4 atoms:
Cu 0.0000 0.0000 0.0000  4 Pb 2.92, 8 Ag 3.04-3.08
Ag 0.0000 0.5000 0.5000  4 Ag 2.92, 4 Pb 3.04, 4 Cu 3.08
Ag 0.5000 0.0000 0.5000  4 Ag 2.92, 4 Cu 3.04, 4 Pb 3.08
Pb 0.5000 0.5000 0.0000  4 Cu 2.92, 8 Ag 3.04-3.08

Computed properties:
As for the formation energy: 191 meV/atom. The spin magnetization comes out at 0.000 μB/f.u. Its raw total energy is -3.19 eV/atom.

# 3
Compound: Zn2Cd2Mo
Source: Alexandria
Functional: GGA-PBE
Structure: optimized geometry

abc: 6.4803 6.4803 6.4803
angles: 144.75 144.75 50.71
With the nearest neighbours (Å) after each atom.
Fractional coordinates of all 5 atoms:
Zn 0.0949 0.0949 0.0000  1 Zn 2.22
Zn 0.9051 0.9051 0.0000  1 Zn 2.22
Cd 0.2500 0.7500 0.5000  4 Zn 2.67, 4 Cd 2.77
Cd 0.7500 0.2500 0.5000  4 Zn 2.67, 4 Cd 2.77
Mo 0.5000 0.5000 0.0000  8 Zn 2.99

Computed properties:
As for the formation energy: 573 meV/atom. The spin magnetization comes out at 0.005 μB/f.u. Its raw total energy is -2.47 eV/atom.

# 4
Compound: LaMgAu2
Source: Alexandria
Functional: GGA-PBE
Structure: optimized geometry

abc: 7.0901 7.0901 7.0901
angles: 149.62 146.47 45.87
With the nearest neighbours (Å) after each atom.
Fractional coordinates of all 4 atoms:
La 0.0000 0.0000 0.0000  6 Au 3.12-3.15
Mg 0.7394 0.2394 0.5000  6 Au 2.82-2.83
Au 0.1951 0.6951 0.5000  4 Mg 2.82, 2 Au 3.14, 2 La 3.15
Au 0.3890 0.3890 0.0000  2 Mg 2.83, 4 La 3.12, 2 Au 3.14

Computed properties:
As for the formation energy: -595 meV/atom. The spin magnetization comes out at 0.000 μB/f.u. Its raw total energy is -3.86 eV/atom.

# 5
Compound: Si3Pt
Source: Alexandria
Functional: GGA-PBE
Structure: optimized geometry

abc: 5.5633 5.5633 5.5633
angles: 152.55 129.94 58.04
With the nearest neighbours (Å) after each atom.
Fractional coordinates of all 4 atoms:
Si 0.0000 0.0000 0.0000  6 Si 2.64-2.88, 4 Pt 2.70
Si 0.2625 0.7625 0.5000  8 Si 2.64-2.88, 2 Pt 2.66
Si 0.7375 0.2375 0.5000  8 Si 2.64-2.88, 2 Pt 2.66
Pt 0.5000 0.5000 0.0000  2 Pt 2.64, 8 Si 2.66-2.70

Computed properties:
As for the raw formation energy: 0.16 eV per atom. The spin magnetization comes out at 0.000 μB/f.u. Its raw total energy is -5.41 eV/atom.

# 6
Compound: KTh2Cu2Te6
Source: Alexandria
Functional: GGA-PBE
Structure: optimized geometry

abc: 7.8079 7.8220 7.8738
angles: 65.91 65.09 65.50
With the nearest neighbours (Å) after each atom.
Fractional coordinates of all 11 atoms:
K 0.0000 0.0000 0.0000  6 Te 3.42-3.61, 2 Cu 3.66
Th 0.3382 0.3203 0.0029  6 Te 3.10-3.25
Th 0.6618 0.6797 0.9971  6 Te 3.10-3.25
Cu 0.2300 0.5718 0.3415  4 Te 2.58-2.69
Cu 0.7700 0.4282 0.6585  4 Te 2.58-2.69
Te 0.0619 0.4630 0.7284  2 Cu 2.68-2.69
Te 0.2919 0.9045 0.2715  1 Cu 2.64
Te 0.4466 0.7056 0.7313  1 Cu 2.58
Te 0.5534 0.2944 0.2687  1 Cu 2.58
Te 0.7081 0.0955 0.7285  1 Cu 2.64
Te 0.9381 0.5370 0.2716  2 Cu 2.68-2.69

Computed properties:
As for the raw formation energy: -0.76 eV per atom. The spin magnetization comes out at 0.000 μB/f.u. Its raw total energy is -4.67 eV/atom.

# 7
Compound: GdScRe4
Source: Alexandria
Functional: GGA-PBE
Structure: optimized geometry

abc: 5.3682 5.3682 5.3682
angles: 60.00 60.00 60.00
With the nearest neighbours (Å) after each atom.
Fractional coordinates of all 6 atoms:
Gd 0.0000 0.0000 0.0000  12 Re 3.15, 4 Sc 3.29
Sc 0.2500 0.2500 0.2500  12 Re 3.15, 4 Gd 3.29
Re 0.1257 0.6248 0.6248  6 Re 2.68-2.69
Re 0.6248 0.1257 0.6248  6 Re 2.68-2.69
Re 0.6248 0.6248 0.1257  6 Re 2.68-2.69
Re 0.6248 0.6248 0.6248  6 Re 2.68-2.69

Computed properties:
As for the formation energy: -180 meV/atom. The spin magnetization comes out at 6.477 μB/f.u. Its raw total energy is -11.88 eV/atom.

no.,DOS at the Fermi energy (states/eV per atom)
1,0.12
2,0.28
3,0.37
4,0.76
5,0.49
6,0.82
7,1.17